1.
The following is a DFT calculation (PBE) of a relaxed Li2YTiO crystal.

Output
The value obtained for the uncorrected formation energy is 0.999 eV/atom. For the total magnetization, the calculation gives 4.40 μB/f.u. The value obtained for the energy is -18.2 eV for the cell shown.

```
data_Li2YTiO
_chemical_formula_sum 'Li2 Y1 Ti1 O1'
_cell_length_a 4.316
_cell_length_b 4.316
_cell_length_c 6.044
_cell_angle_alpha 90.00
_cell_angle_beta 90.00
_cell_angle_gamma 90.00
_space_group_name_H-M_alt 'P 4/m m m'
_space_group_IT_number 123
_space_group_name_Hall '-P 4 2'
loop_
_atom_site_label
_atom_site_type_symbol
_atom_site_fract_x
_atom_site_fract_y
_atom_site_fract_z
_atom_site_occupancy
Li1 Li 0.000 0.500 0.000 1
Y1 Y 0.000 0.000 0.500 1
Ti1 Ti 0.000 0.000 0.000 1
O1 O 0.500 0.500 0.500 1
```

=====

2.
The following is a DFT calculation (PBE) of a relaxed Li3Ti6Zn3O16 crystal.

Output
The value obtained for the uncorrected formation energy is -2.570 eV/atom. For the total magnetization, the calculation gives 0.97 μB/f.u. The value obtained for the energy is -416.4 eV for the cell shown.

```
data_Li3Ti6Zn3O16
_chemical_formula_sum 'Li6 Ti12 Zn6 O32'
_cell_length_a 8.464
_cell_length_b 8.474
_cell_length_c 8.487
_cell_angle_alpha 90.00
_cell_angle_beta 90.02
_cell_angle_gamma 90.00
_space_group_name_H-M_alt 'P 1 21 1'
_space_group_IT_number 4
loop_
_space_group_symop_operation_xyz
'x,y,z'
'-x,y+1/2,-z'
loop_
_atom_site_label
_atom_site_type_symbol
_atom_site_fract_x
_atom_site_fract_y
_atom_site_fract_z
_atom_site_occupancy
Li1 Li 0.125 0.000 0.374 1
Li2 Li 0.249 0.877 0.000 1
Li3 Li 0.373 0.254 0.872 1
Ti1 Ti 0.117 0.502 0.872 1
Ti2 Ti 0.119 0.744 0.628 1
Ti3 Ti 0.128 0.247 0.117 1
Ti4 Ti 0.367 0.007 0.627 1
Ti5 Ti 0.370 0.756 0.364 1
Ti6 Ti 0.386 0.503 0.117 1
Zn1 Zn 0.002 0.626 0.251 1
Zn2 Zn 0.251 0.375 0.497 1
Zn3 Zn 0.500 0.129 0.251 1
O1 O 0.106 0.252 0.361 1
O2 O 0.108 0.022 0.125 1
O3 O 0.110 0.743 0.863 1
O4 O 0.124 0.267 0.888 1
O5 O 0.129 0.512 0.641 1
O6 O 0.138 0.490 0.115 1
O7 O 0.142 0.749 0.393 1
O8 O 0.144 0.989 0.625 1
O9 O 0.357 0.268 0.127 1
O10 O 0.361 0.506 0.894 1
O11 O 0.363 0.764 0.614 1
O12 O 0.374 0.735 0.146 1
O13 O 0.380 0.982 0.389 1
O14 O 0.386 0.513 0.363 1
O15 O 0.390 0.232 0.620 1
O16 O 0.395 0.000 0.856 1
```

=====

3.
The following is a DFT calculation (PBE) of a relaxed Li2TiZnO crystal.

Output
The value obtained for the uncorrected formation energy is -1.008 eV/atom. For the total magnetization, the calculation gives 0.05 μB/f.u. The value obtained for the energy is -23.0 eV for the cell shown.

```
data_Li2TiZnO
_chemical_formula_sum 'Li2 Ti1 Zn1 O1'
_cell_length_a 4.040
_cell_length_b 4.040
_cell_length_c 3.957
_cell_angle_alpha 90.00
_cell_angle_beta 90.00
_cell_angle_gamma 90.00
_space_group_name_H-M_alt 'P 4/m m m'
_space_group_IT_number 123
_space_group_name_Hall '-P 4 2'
loop_
_atom_site_label
_atom_site_type_symbol
_atom_site_fract_x
_atom_site_fract_y
_atom_site_fract_z
_atom_site_occupancy
Li1 Li 0.000 0.500 0.000 1
Ti1 Ti 0.000 0.000 0.500 1
Zn1 Zn 0.500 0.500 0.500 1
O1 O 0.000 0.000 0.000 1
```

=====

4.
The following is a DFT calculation (PBE) of a relaxed Li2TiZnO crystal.

Output
The value obtained for the uncorrected formation energy is 1.232 eV/atom. For the total magnetization, the calculation gives 2.97 μB/f.u. The value obtained for the energy is -11.8 eV for the cell shown.

```
data_Li2TiZnO
_chemical_formula_sum 'Li2 Ti1 Zn1 O1'
_cell_length_a 5.284
_cell_length_b 5.284
_cell_length_c 5.026
_cell_angle_alpha 90.00
_cell_angle_beta 90.00
_cell_angle_gamma 90.00
_space_group_name_H-M_alt 'P 4/m m m'
_space_group_IT_number 123
_space_group_name_Hall '-P 4 2'
loop_
_atom_site_label
_atom_site_type_symbol
_atom_site_fract_x
_atom_site_fract_y
_atom_site_fract_z
_atom_site_occupancy
Li1 Li 0.000 0.500 0.000 1
Ti1 Ti 0.000 0.000 0.000 1
Zn1 Zn 0.000 0.000 0.500 1
O1 O 0.500 0.500 0.500 1
```

=====

5.
The following is a DFT calculation (PBE) of a relaxed LiTi2ZnO crystal.

Output
The value obtained for the uncorrected formation energy is -1.121 eV/atom. For the total magnetization, the calculation gives 0.00 μB/f.u. The value obtained for the energy is -29.5 eV for the cell shown.

```
data_LiTi2ZnO
_chemical_formula_sum 'Li1 Ti2 Zn1 O1'
_cell_length_a 4.090
_cell_length_b 4.090
_cell_length_c 3.895
_cell_angle_alpha 90.00
_cell_angle_beta 90.00
_cell_angle_gamma 90.00
_space_group_name_H-M_alt 'P 4/m m m'
_space_group_IT_number 123
_space_group_name_Hall '-P 4 2'
loop_
_atom_site_label
_atom_site_type_symbol
_atom_site_fract_x
_atom_site_fract_y
_atom_site_fract_z
_atom_site_occupancy
Li1 Li 0.000 0.000 0.000 1
Ti1 Ti 0.000 0.500 0.500 1
Zn1 Zn 0.500 0.500 0.000 1
O1 O 0.000 0.000 0.500 1
```

=====

6.
The following is a DFT calculation (PBE) of a relaxed LiZrTiO4 crystal.

Output
The value obtained for the uncorrected formation energy is -2.852 eV/atom. For the total magnetization, the calculation gives 0.53 μB/f.u. The value obtained for the energy is -232.6 eV for the cell shown.

```
data_LiZrTiO4
_chemical_formula_sum 'Li4 Zr4 Ti4 O16'
_cell_length_a 6.018
_cell_length_b 6.458
_cell_length_c 8.773
_cell_angle_alpha 90.00
_cell_angle_beta 90.00
_cell_angle_gamma 90.00
_space_group_name_H-M_alt 'I m m a'
_space_group_IT_number 74
_space_group_name_Hall '-I 2b 2'
loop_
_atom_site_label
_atom_site_type_symbol
_atom_site_fract_x
_atom_site_fract_y
_atom_site_fract_z
_atom_site_occupancy
Li1 Li 0.000 0.250 0.123 1
Zr1 Zr 0.000 0.000 0.500 1
Ti1 Ti 0.250 0.250 0.750 1
O1 O 0.000 0.035 0.742 1
O2 O 0.233 0.250 0.515 1
```

=====

7.
The following is a DFT calculation (PBE) of a relaxed LiTlO2 crystal.

Output
The value obtained for the uncorrected formation energy is -1.113 eV/atom. For the total magnetization, the calculation gives 0.00 μB/f.u. The value obtained for the energy is -37.3 eV for the cell shown.

```
data_LiTlO2
_chemical_formula_sum 'Li2 Tl2 O4'
_cell_length_a 5.781
_cell_length_b 3.329
_cell_length_c 5.505
_cell_angle_alpha 90.00
_cell_angle_beta 110.72
_cell_angle_gamma 90.00
_space_group_name_H-M_alt 'C 1 2/m 1'
_space_group_IT_number 12
loop_
_space_group_symop_operation_xyz
'x,y,z'
'-x,-y,-z'
'-x,y,-z'
'x,-y,z'
'x+1/2,y+1/2,z'
'-x+1/2,-y+1/2,-z'
'-x+1/2,y+1/2,-z'
'x+1/2,-y+1/2,z'
loop_
_atom_site_label
_atom_site_type_symbol
_atom_site_fract_x
_atom_site_fract_y
_atom_site_fract_z
_atom_site_occupancy
Li1 Li 0.000 0.000 0.000 1
Tl1 Tl 0.000 0.500 0.500 1
O1 O 0.248 0.500 0.248 1
```

=====

8.
The following is a DFT calculation (PBE) of a relaxed LiTlO2 crystal.

Output
The value obtained for the uncorrected formation energy is -1.036 eV/atom. For the total magnetization, the calculation gives 0.00 μB/f.u. The value obtained for the energy is -55.0 eV for the cell shown.

```
data_LiTlO2
_chemical_formula_sum 'Li3 Tl3 O6'
_cell_length_a 3.4996
_cell_length_b 3.4996
_cell_length_c 16.8741
_cell_angle_alpha 90.00
_cell_angle_beta 90.00
_cell_angle_gamma 120.00
_space_group_name_H-M_alt 'R 3 m'
_space_group_IT_number 160
_space_group_name_Hall 'R 3 -2"'
loop_
_atom_site_label
_atom_site_type_symbol
_atom_site_fract_x
_atom_site_fract_y
_atom_site_fract_z
_atom_site_occupancy
Li1 Li 0.0000 0.0000 0.0000 1
Tl1 Tl 0.0000 0.0000 0.5111 1
O1 O 0.0000 0.0000 0.1196 1
O2 O 0.0000 0.0000 0.6340 1
```

=====

9.
The following is a DFT calculation (PBE) of a relaxed LiTl2O3 crystal.

Output
The value obtained for the uncorrected formation energy is -0.846 eV/atom. For the total magnetization, the calculation gives 0.00 μB/f.u. The value obtained for the energy is -53.2 eV for the cell shown.

```
data_LiTl2O3
_chemical_formula_sum 'Li2 Tl4 O6'
_cell_length_a 3.484
_cell_length_b 3.484
_cell_length_c 14.015
_cell_angle_alpha 90.00
_cell_angle_beta 90.00
_cell_angle_gamma 90.00
_space_group_name_H-M_alt 'I 4/m m m'
_space_group_IT_number 139
_space_group_name_Hall '-I 4 2'
loop_
_atom_site_label
_atom_site_type_symbol
_atom_site_fract_x
_atom_site_fract_y
_atom_site_fract_z
_atom_site_occupancy
Li1 Li 0.000 0.000 0.000 1
Tl1 Tl 0.000 0.000 0.343 1
O1 O 0.000 0.000 0.169 1
O2 O 0.000 0.000 0.500 1
```

=====

10.
The following is a DFT calculation (PBE) of a relaxed LiTlO2 crystal.

Output
The value obtained for the uncorrected formation energy is -0.797 eV/atom. For the total magnetization, the calculation gives 0.00 μB/f.u. The value obtained for the energy is -69.5 eV for the cell shown.

```
data_LiTlO2
_chemical_formula_sum 'Li4 Tl4 O8'
_cell_length_a 5.649
_cell_length_b 5.649
_cell_length_c 5.649
_cell_angle_alpha 90.00
_cell_angle_beta 90.00
_cell_angle_gamma 90.00
_space_group_name_H-M_alt 'F m -3 m'
_space_group_IT_number 225
_space_group_name_Hall '-F 4 2 3'
loop_
_atom_site_label
_atom_site_type_symbol
_atom_site_fract_x
_atom_site_fract_y
_atom_site_fract_z
_atom_site_occupancy
Li1 Li 0.000 0.000 0.000 1
Tl1 Tl 0.000 0.000 0.500 1
O1 O 0.250 0.250 0.250 1
```